<1>
Compound: HfHgW3
Source: Alexandria
Functional: GGA-PBE
Structure: optimized geometry

Output
**Symmetry**: Pm-3m (221)

Cell: 4.893 4.893 4.893 Å, 90.00 90.00 90.00°
Positions (direct):
Hf 0.000 0.000 0.000
Hg 0.500 0.500 0.500
W 0.000 0.500 0.500
W 0.500 0.000 0.500
W 0.500 0.500 0.000

---

<2>
Compound: HfHgW3
Source: Alexandria
Functional: GGA-PBE
Structure: optimized geometry

Output
**Symmetry**: Pm-3m (221)

Cell: 4.822 4.822 4.822 Å, 90.00 90.00 90.00°
Positions (direct):
Hf 0.000 0.000 0.000
Hg 0.500 0.500 0.500
W 0.000 0.000 0.500
W 0.000 0.500 0.000
W 0.500 0.000 0.000

---

Stability verdict: <2>, ahead by 26.6 kJ/mol of atoms